Material: CaReSb2Te
Method: DFT, PBE
State: optimized geometry

Summary:
**Energy relative to the lowest polymorph listed for this composition**: 1.676 eV per atom
**Raw formation energy**: 1861.2 meV/atom
**Calculated volume**: 171 Å³ per cell

Cell: 5.5732 5.5732 5.5115 Å, 90.00 90.00 90.00°
Closest atoms and distances in Å follow each position.
Element x y z (fractional)
Ca: 0.0000 0.0000 0.0000  2 Te 2.76, 4 Sb 2.79
Re: 0.5000 0.5000 0.5000  8 Sb 3.92, 4 Te 3.94
Sb: 0.0000 0.5000 0.0000  2 Ca 2.79
Sb: 0.5000 0.0000 0.0000  2 Ca 2.79
Te: 0.0000 0.0000 0.5000  2 Ca 2.76

***

Material: AcGd2Sc
Method: DFT, PBE
State: optimized geometry

Summary:
**Energy relative to the lowest polymorph listed for this composition**: 0.004 eV per atom
**Calculated volume**: 132 Å³ per cell
**Formation energy**: 30 kJ/mol of formula units

Cell: 5.0563 5.0563 5.1653 Å, 90.00 90.00 90.00°
Closest atoms and distances in Å follow each position.
Element x y z (fractional)
Ac: 0.0000 0.0000 0.0000  4 Sc 3.58, 8 Gd 3.61
Gd: 0.0000 0.5000 0.5000  4 Gd 3.58, 4 Sc 3.61, 4 Ac 3.61
Gd: 0.5000 0.0000 0.5000  4 Gd 3.58, 4 Sc 3.61, 4 Ac 3.61
Sc: 0.5000 0.5000 0.0000  4 Ac 3.58, 8 Gd 3.61